# LiNd2BO5 (PBE, relaxed)
# - formation energy (no corrections) (meV per atom) = -2684.9
# - D(E_F) (states/eV per atom) = 0.0000
# - theoretical density (g/cm³) = 5.97
data_LiNd2BO5
_chemical_formula_sum 'Li4 Nd8 B4 O20'
_symmetry_space_group_name_H-M 'C m c 21'
_symmetry_Int_Tables_number 36
_cell_length_a 3.268
_cell_length_b 13.252
_cell_length_c 9.928
_cell_angle_alpha 90.00
_cell_angle_beta 90.00
_cell_angle_gamma 90.00
loop_
_symmetry_equiv_pos_as_xyz
'x,y,z'
'-x,-y,z+1/2'
'-x,y,z'
'x,-y,z+1/2'
'x+1/2,y+1/2,z'
'-x+1/2,-y+1/2,z+1/2'
'-x+1/2,y+1/2,z'
'x+1/2,-y+1/2,z+1/2'
loop_
_atom_site_label
_atom_site_type_symbol
_atom_site_fract_x
_atom_site_fract_y
_atom_site_fract_z
Li1 Li 0.000 0.186 0.000
Nd1 Nd 0.000 0.123 0.648
Nd2 Nd 0.000 0.138 0.305
B1 B 0.000 0.439 0.378
O1 O 0.000 0.029 0.955
O2 O 0.000 0.295 0.666
O3 O 0.000 0.336 0.354
O4 O 0.000 0.340 0.989
O5 O 0.000 0.499 0.760